Entry from Alexandria via LeMat-Bulk: Pm2ZnCo2Ni5 after structural relaxation (PBE).

POSCAR file:
```
Pm2ZnCo2Ni5
1.0
8.8251 0.0000 0.0000
0.0000 8.8251 0.0000
0.0000 0.0000 3.8240
Pm Zn Co Ni
4 2 4 10
Direct
0.1844 0.3156 0.0000 Pm
0.3156 0.8156 0.0000 Pm
0.6844 0.1844 0.0000 Pm
0.8156 0.6844 0.0000 Pm
0.0000 0.0000 0.0000 Zn
0.5000 0.5000 0.0000 Zn
0.1110 0.6110 0.0000 Co
0.3890 0.1110 0.0000 Co
0.6110 0.8890 0.0000 Co
0.8890 0.3890 0.0000 Co
0.0000 0.5000 0.5000 Ni
0.0574 0.7914 0.5000 Ni
0.2086 0.0574 0.5000 Ni
0.2914 0.5574 0.5000 Ni
0.4426 0.2914 0.5000 Ni
0.5000 0.0000 0.5000 Ni
0.5574 0.7086 0.5000 Ni
0.7086 0.4426 0.5000 Ni
0.7914 0.9426 0.5000 Ni
0.9426 0.2086 0.5000 Ni
```

## Properties
- ΔE_f: -0.10 eV per atom
- SG: P4/mbm, No. 127

=====

Entry from Alexandria via LeMat-Bulk: Pm2Zn3CoNi12 after structural relaxation (PBE).

POSCAR file:
```
Pm2Zn3CoNi12
1.0
3.0091 1.7373 8.5412
-3.0091 1.7373 8.5412
0.0000 -3.4747 8.5412
Pm Zn Co Ni
2 3 1 12
Direct
0.1536 0.1536 0.1536 Pm
0.8464 0.8464 0.8464 Pm
0.0000 0.5000 0.5000 Zn
0.5000 0.0000 0.5000 Zn
0.5000 0.5000 0.0000 Zn
0.5000 0.5000 0.5000 Co
0.0784 0.0784 0.6867 Ni
0.0784 0.6867 0.0784 Ni
0.1520 0.5699 0.5699 Ni
0.3133 0.9216 0.9216 Ni
0.4301 0.4301 0.8480 Ni
0.4301 0.8480 0.4301 Ni
0.5699 0.1520 0.5699 Ni
0.5699 0.5699 0.1520 Ni
0.6867 0.0784 0.0784 Ni
0.8480 0.4301 0.4301 Ni
0.9216 0.3133 0.9216 Ni
0.9216 0.9216 0.3133 Ni
```

## Properties
- ΔE_f: 0.13 eV per atom
- SG: R-3m, No. 166

=====

Which value of ΔE_f does entry 1 give?
-0.10 eV per atom